1.
A plane-wave DFT calculation with SCAN was carried out for a PBEsol-optimized structure of ScAg5.

a b c (Å): 4.9908 4.9908 4.7783
angles (deg): 90.00 90.00 120.00
Space group P-62m (No. 189)
One atom of each set of equivalent atoms:
Sc 0.0000 0.0000 0.0000 [1 per cell]
Ag 0.0000 0.6633 0.5000 [3 per cell]
Ag 0.3333 0.6667 0.0000 [2 per cell]

Computed properties:
ΔE_f: -2.915 kcal/mol of atoms
Theoretical density: 9.413 g cm⁻³
D(E_F): 2.9 states/eV per cell

2.
A plane-wave DFT calculation with SCAN was carried out for a PBEsol-optimized structure of ScZnCr2.

a b c (Å): 3.018 4.368 8.498
angles (deg): 90.00 90.00 90.00
Space group Cmm2 (No. 35)
One atom of each set of equivalent atoms:
Sc 0.000 0.000 0.000 [2 per cell]
Zn 0.000 0.500 0.288 [2 per cell]
Cr 0.000 0.000 0.538 [2 per cell]
Cr 0.000 0.500 0.735 [2 per cell]

Computed properties:
ΔE_f: 6.626 kcal/mol of atoms
Theoretical density: 6.355 g cm⁻³
D(E_F): 8.5 states/eV per cell

3.
A plane-wave DFT calculation with SCAN was carried out for a PBEsol-optimized structure of Na2CdReOs.

a b c (Å): 5.337 5.337 4.578
angles (deg): 90.00 90.00 90.00
Space group P4/mmm (No. 123)
One atom of each set of equivalent atoms:
Na 0.000 0.500 0.000 [2 per cell]
Cd 0.000 0.000 0.500 [1 per cell]
Re 0.500 0.500 0.500 [1 per cell]
Os 0.500 0.500 0.000 [1 per cell]

Computed properties:
ΔE_f: 32.065 kcal/mol of atoms
Theoretical density: 6.812 g cm⁻³
D(E_F): 4.3 states/eV per cell

4.
A plane-wave DFT calculation with SCAN was carried out for a PBEsol-optimized structure of Sr2Fe2S2OF2.

a b c (Å): 3.920 3.920 17.873
angles (deg): 90.00 90.00 90.00
Space group I4/mmm (No. 139)
One atom of each set of equivalent atoms:
Sr 0.000 0.000 0.168 [4 per cell]
Fe 0.000 0.500 0.000 [4 per cell]
S 0.000 0.000 0.410 [4 per cell]
O 0.000 0.000 0.000 [2 per cell]
F 0.000 0.500 0.250 [4 per cell]

Computed properties:
DFT total energy: -14.95 eV/atom
Theoretical density: 4.897 g cm⁻³
D(E_F): 5.2 states/eV per cell

5.
A plane-wave DFT calculation with SCAN was carried out for a PBEsol-optimized structure of Cd2InTc.

a b c (Å): 2.922 2.922 9.119
angles (deg): 90.00 90.00 90.00
Space group P4/mmm (No. 123)
One atom of each set of equivalent atoms:
Cd 0.000 0.000 0.218 [2 per cell]
In 0.500 0.500 0.500 [1 per cell]
Tc 0.500 0.500 0.000 [1 per cell]

Computed properties:
ΔE_f: 8.442 kcal/mol of atoms
Theoretical density: 9.332 g cm⁻³
D(E_F): 2.5 states/eV per cell

6.
A plane-wave DFT calculation with SCAN was carried out for a PBEsol-optimized structure of CdCoRu.

a b c (Å): 4.2056 4.2056 2.8399
angles (deg): 90.00 90.00 120.00
Space group P3m1 (No. 156)
One atom of each set of equivalent atoms:
Cd 0.0000 0.0000 0.0000 [1 per cell]
Co 0.3333 0.6667 0.5649 [1 per cell]
Ru 0.6667 0.3333 0.4722 [1 per cell]

Computed properties:
ΔE_f: 9.666 kcal/mol of atoms
Theoretical density: 10.399 g cm⁻³
D(E_F): 2.2 states/eV per cell

7.
A plane-wave DFT calculation with SCAN was carried out for a PBEsol-optimized structure of OsPb.

a b c (Å): 3.0107 3.0107 10.4856
angles (deg): 90.00 90.00 120.00
Space group P-3m1 (No. 164)
One atom of each set of equivalent atoms:
Os 0.3333 0.6667 0.0923 [2 per cell]
Pb 0.3333 0.6667 0.6772 [2 per cell]

Computed properties:
ΔE_f: 17.946 kcal/mol of atoms
Theoretical density: 16.036 g cm⁻³
D(E_F): 2.1 states/eV per cell

8.
A plane-wave DFT calculation with SCAN was carried out for a PBEsol-optimized structure of BaTlNi2.

a b c (Å): 7.047 7.047 7.047
angles (deg): 90.00 90.00 90.00
Space group F-43m (No. 216)
One atom of each set of equivalent atoms:
Ba 0.000 0.000 0.000 [4 per cell]
Tl 0.250 0.250 0.250 [4 per cell]
Ni 0.000 0.000 0.500 [4 per cell]
Ni 0.250 0.250 0.750 [4 per cell]

Computed properties:
ΔE_f: 15.950 kcal/mol of atoms
Theoretical density: 8.714 g cm⁻³
D(E_F): 18.0 states/eV per cell

9.
A plane-wave DFT calculation with SCAN was carried out for a PBEsol-optimized structure of PRhPb.

a b c (Å): 6.312 6.312 6.312
angles (deg): 90.00 90.00 90.00
Space group F-43m (No. 216)
One atom of each set of equivalent atoms:
P 0.000 0.000 0.000 [4 per cell]
Rh 0.000 0.000 0.500 [4 per cell]
Pb 0.250 0.250 0.750 [4 per cell]

Computed properties:
ΔE_f: 17.928 kcal/mol of atoms
Theoretical density: 9.007 g cm⁻³
D(E_F): 6.4 states/eV per cell

10.
A plane-wave DFT calculation with SCAN was carried out for a PBEsol-optimized structure of Cs2PtI.

a b c (Å): 7.240 7.240 16.443
angles (deg): 90.00 90.00 90.00
Space group I-42d (No. 122)
One atom of each set of equivalent atoms:
Cs 0.152 0.250 0.125 [8 per cell]
Pt 0.000 0.000 0.000 [4 per cell]
I 0.000 0.000 0.500 [4 per cell]

Computed properties:
DFT total energy: -45.78 eV/atom
Theoretical density: 4.530 g cm⁻³
D(E_F): 5.3 states/eV per cell

11.
A plane-wave DFT calculation with SCAN was carried out for a PBEsol-optimized structure of SrSb.

a b c (Å): 6.403 6.403 6.403
angles (deg): 90.00 90.00 90.00
Space group P2_13 (No. 198)
One atom of each set of equivalent atoms:
Sr 0.094 0.094 0.094 [4 per cell]
Sb 0.094 0.594 0.906 [4 per cell]

Computed properties:
DFT total energy: -30.48 eV/atom
Theoretical density: 5.297 g cm⁻³
D(E_F): 8.0 states/eV per cell

12.
A plane-wave DFT calculation with SCAN was carried out for a PBEsol-optimized structure of CuTc2.

a b c (Å): 3.102 3.102 8.215
angles (deg): 90.00 90.00 90.00
Space group I4/mmm (No. 139)
One atom of each set of equivalent atoms:
Cu 0.000 0.000 0.000 [2 per cell]
Tc 0.000 0.000 0.332 [4 per cell]

Computed properties:
Relative energy among the computed polymorphs: 4.5 kJ per mole of atoms
ΔE_f: 2.484 kcal/mol of atoms
Theoretical density: 10.908 g cm⁻³
D(E_F): 3.9 states/eV per cell

13.
A plane-wave DFT calculation with SCAN was carried out for a PBEsol-optimized structure of YCrAsBr2.

a b c (Å): 4.791 4.791 5.146
angles (deg): 90.00 90.00 90.00
Space group P4/mmm (No. 123)
One atom of each set of equivalent atoms:
Y 0.000 0.000 0.000 [1 per cell]
Cr 0.500 0.500 0.500 [1 per cell]
As 0.500 0.500 0.000 [1 per cell]
Br 0.000 0.500 0.500 [2 per cell]

Computed properties:
DFT total energy: -21.65 eV/atom
Theoretical density: 5.280 g cm⁻³
D(E_F): 1.2 states/eV per cell

14.
A plane-wave DFT calculation with SCAN was carried out for a PBEsol-optimized structure of LiIn3.

a b c (Å): 6.262 15.584 5.550
angles (deg): 90.00 90.00 90.00
Space group Pmmn (No. 59, origin choice 2)
One atom of each set of equivalent atoms:
Li 0.250 0.082 0.157 [4 per cell]
Li 0.250 0.750 0.523 [2 per cell]
In 0.000 0.085 0.657 [8 per cell]
In 0.002 0.750 0.017 [4 per cell]
In 0.250 0.250 0.471 [2 per cell]
In 0.250 0.581 0.845 [4 per cell]

Computed properties:
ΔE_f: -4.069 kcal/mol of atoms
Theoretical density: 6.465 g cm⁻³
D(E_F): 7.6 states/eV per cell

15.
A plane-wave DFT calculation with SCAN was carried out for a PBEsol-optimized structure of CuWBr2.

a b c (Å): 3.007 5.686 8.977
angles (deg): 90.00 90.00 90.00
Space group Cmmm (No. 65)
One atom of each set of equivalent atoms:
Cu 0.000 0.000 0.000 [2 per cell]
W 0.000 0.000 0.500 [2 per cell]
Br 0.000 0.500 0.268 [4 per cell]

Computed properties:
Relative energy among the computed polymorphs: 49.1 kJ per mole of atoms
Theoretical density: 8.811 g cm⁻³
D(E_F): 4.3 states/eV per cell

16.
A plane-wave DFT calculation with SCAN was carried out for a PBEsol-optimized structure of ZnCo2Cl.

a b c (Å): 2.871 2.825 6.845
angles (deg): 90.00 90.05 90.00
Space group Pm (No. 6)
One atom of each set of equivalent atoms:
Zn 0.000 0.000 0.000 [1 per cell]
Co 0.500 0.500 0.784 [1 per cell]
Co 0.999 0.000 0.593 [1 per cell]
Cl 0.998 0.500 0.328 [1 per cell]

Computed properties:
Relative energy among the computed polymorphs: 3.9 kJ per mole of atoms
Theoretical density: 6.541 g cm⁻³
D(E_F): 2.4 states/eV per cell

17.
A plane-wave DFT calculation with SCAN was carried out for a PBEsol-optimized structure of AgSb2WI.

a b c (Å): 5.179 5.179 5.370
angles (deg): 90.00 90.00 90.00
Space group P4/mmm (No. 123)
One atom of each set of equivalent atoms:
Ag 0.000 0.000 0.000 [1 per cell]
Sb 0.000 0.500 0.000 [2 per cell]
W 0.500 0.500 0.500 [1 per cell]
I 0.000 0.000 0.500 [1 per cell]

Computed properties:
DFT total energy: -40.73 eV/atom
Theoretical density: 7.635 g cm⁻³
D(E_F): 3.9 states/eV per cell

18.
A plane-wave DFT calculation with SCAN was carried out for a PBEsol-optimized structure of CeSiOs.

a b c (Å): 4.161 4.161 6.707
angles (deg): 90.00 90.00 90.00
Space group P4/nmm (No. 129, origin choice 2)
One atom of each set of equivalent atoms:
Ce 0.250 0.250 0.179 [2 per cell]
Si 0.250 0.250 0.692 [2 per cell]
Os 0.250 0.750 0.500 [2 per cell]

Computed properties:
DFT total energy: -42.88 eV/atom
Theoretical density: 10.253 g cm⁻³
D(E_F): 7.4 states/eV per cell

19.
A plane-wave DFT calculation with SCAN was carried out for a PBEsol-optimized structure of Mg2CdCo.

a b c (Å): 3.165 4.525 9.394
angles (deg): 90.00 90.00 90.00
Space group Imm2 (No. 44)
One atom of each set of equivalent atoms:
Mg 0.000 0.000 0.000 [2 per cell]
Mg 0.000 0.500 0.214 [2 per cell]
Cd 0.000 0.500 0.774 [2 per cell]
Co 0.000 0.000 0.497 [2 per cell]

Computed properties:
ΔE_f: 2.846 kcal/mol of atoms
Theoretical density: 5.430 g cm⁻³
D(E_F): 2.8 states/eV per cell

20.
A plane-wave DFT calculation with SCAN was carried out for a PBEsol-optimized structure of KGaBr4.

a b c (Å): 21.9904 21.9904 8.7454
angles (deg): 90.00 90.00 120.00
Space group R3c (No. 161, hexagonal axes)
One atom of each set of equivalent atoms:
K 0.0099 0.2077 0.0000 [18 per cell]
Ga 0.0084 0.2035 0.5113 [18 per cell]
Br 0.0312 0.1222 0.3901 [18 per cell]
Br 0.0500 0.4889 0.3236 [18 per cell]
Br 0.0669 0.3861 0.9921 [18 per cell]
Br 0.1901 0.4363 0.3439 [18 per cell]

Computed properties:
DFT total energy: -18.39 eV/atom
Theoretical density: 3.496 g cm⁻³
D(E_F): 0.0 states/eV per cell

21.
A plane-wave DFT calculation with SCAN was carried out for a PBEsol-optimized structure of TaCdAu2.

a b c (Å): 5.021 5.021 2.812
angles (deg): 90.00 90.00 90.00
Space group P4/mmm (No. 123)
One atom of each set of equivalent atoms:
Ta 0.000 0.000 0.000 [1 per cell]
Cd 0.500 0.500 0.000 [1 per cell]
Au 0.000 0.500 0.500 [2 per cell]

Computed properties:
ΔE_f: -1.795 kcal/mol of atoms
Theoretical density: 16.100 g cm⁻³
D(E_F): 2.0 states/eV per cell

22.
A plane-wave DFT calculation with SCAN was carried out for a PBEsol-optimized structure of CsNd5Se8.

a b c (Å): 9.025 9.025 8.910
angles (deg): 90.00 90.00 90.00
Space group I-4 (No. 82)
One atom of each set of equivalent atoms:
Cs 0.000 0.000 0.000 [2 per cell]
Nd 0.000 0.500 0.250 [2 per cell]
Nd 0.133 0.254 0.629 [8 per cell]
Se 0.075 0.183 0.314 [8 per cell]
Se 0.085 0.344 0.949 [8 per cell]

Computed properties:
DFT total energy: -31.76 eV/atom
Theoretical density: 6.798 g cm⁻³
D(E_F): 0.0 states/eV per cell

23.
A plane-wave DFT calculation with SCAN was carried out for a PBEsol-optimized structure of AlCu2Ru.

a b c (Å): 3.159 3.873 4.056
angles (deg): 90.00 90.00 90.00
Space group Pmmm (No. 47)
One atom of each set of equivalent atoms:
Al 0.000 0.000 0.000 [1 per cell]
Cu 0.000 0.500 0.500 [1 per cell]
Cu 0.500 0.000 0.500 [1 per cell]
Ru 0.500 0.500 0.000 [1 per cell]

Computed properties:
ΔE_f: -7.095 kcal/mol of atoms
Theoretical density: 8.538 g cm⁻³
D(E_F): 1.2 states/eV per cell

24.
A plane-wave DFT calculation with SCAN was carried out for a PBEsol-optimized structure of MnAs2P.

a b c (Å): 2.9198 2.9198 24.3530
angles (deg): 90.00 90.00 120.00
Space group R-3m (No. 166, hexagonal axes)
One atom of each set of equivalent atoms:
Mn 0.0000 0.0000 0.0000 [3 per cell]
As 0.0000 0.0000 0.2636 [6 per cell]
P 0.0000 0.0000 0.5000 [3 per cell]

Computed properties:
ΔE_f: 8.105 kcal/mol of atoms
Theoretical density: 6.532 g cm⁻³
D(E_F): 6.0 states/eV per cell

25.
A plane-wave DFT calculation with SCAN was carried out for a PBEsol-optimized structure of Tl2Cd.

a b c (Å): 3.598 3.598 12.086
angles (deg): 90.00 90.00 90.00
Space group I4/mmm (No. 139)
One atom of each set of equivalent atoms:
Tl 0.000 0.000 0.159 [4 per cell]
Cd 0.000 0.000 0.500 [2 per cell]

Computed properties:
Relative energy among the computed polymorphs: 2.2 kJ per mole of atoms
ΔE_f: 1.323 kcal/mol of atoms
Theoretical density: 11.061 g cm⁻³
D(E_F): 2.6 states/eV per cell

26.
A plane-wave DFT calculation with SCAN was carried out for a PBEsol-optimized structure of NiTePdCl2.

a b c (Å): 4.284 4.284 5.460
angles (deg): 90.00 90.00 90.00
Space group P4/mmm (No. 123)
One atom of each set of equivalent atoms:
Ni 0.000 0.000 0.000 [1 per cell]
Te 0.000 0.000 0.500 [1 per cell]
Pd 0.500 0.500 0.500 [1 per cell]
Cl 0.000 0.500 0.000 [2 per cell]

Computed properties:
DFT total energy: -20.43 eV/atom
Theoretical density: 6.027 g cm⁻³
D(E_F): 4.1 states/eV per cell